1.
A plane-wave DFT calculation with PBE was carried out for crystalline Sr3Pu2NpN6 at its relaxed geometry.

a b c (Å): 6.180 6.180 6.288
angles (deg): 99.43 99.43 120.00
Site moments in Bohr magnetons follow the coordinates.
Positions (direct):
Sr 0.167 0.833 0.500  0.06
Sr 0.833 0.167 0.500  0.06
Sr 0.500 0.500 0.500  0.06
Pu 0.333 0.667 0.000  4.49
Pu 0.667 0.333 0.000  4.49
Np 0.000 0.000 0.000  2.39
N 0.935 0.614 0.805  -0.18
N 0.744 0.744 0.195  -0.18
N 0.065 0.386 0.195  -0.18
N 0.614 0.935 0.805  -0.18
N 0.256 0.256 0.805  -0.18
N 0.386 0.065 0.195  -0.18

## Properties
Magnetic moment (μB/f.u.): 11.00
DFT total energy (eV/cell): -109.39
Formation energy from raw total energies (eV per atom): -1.065



2.
A plane-wave DFT calculation with PBE was carried out for crystalline FeAuCl2 at its relaxed geometry.

a b c (Å): 8.048 8.048 8.048
angles (deg): 24.85 24.85 24.85
Site moments in Bohr magnetons follow the coordinates.
Positions (direct):
Au 0.764 0.764 0.764  -0.07
Fe 0.500 0.500 0.500  1.07
Cl 0.023 0.023 0.023  -0.05
Cl 0.213 0.213 0.213  -0.01

## Properties
Magnetic moment (μB/f.u.): 0.96
DFT total energy (eV/cell): -15.65
Formation energy from raw total energies (eV per atom): -0.055



3.
A plane-wave DFT calculation with PBE was carried out for crystalline Sb2IrRh at its relaxed geometry.

a b c (Å): 4.754 4.754 4.754
angles (deg): 60.00 60.00 60.00
Positions (direct):
Sb 0.000 0.000 0.000
Sb 0.750 0.750 0.750
Ir 0.500 0.500 0.500
Rh 0.250 0.250 0.250

## Properties
Magnetic moment (μB/f.u.): 0.00
DFT total energy (eV/cell): -22.56
Formation energy from raw total energies (eV per atom): 0.474



4.
A plane-wave DFT calculation with PBE was carried out for crystalline Fe2BiW2 at its relaxed geometry.

a b c (Å): 7.478 7.478 2.852
angles (deg): 90.00 90.00 90.00
Positions (direct):
Bi 0.000 0.000 0.000
Bi 0.500 0.500 0.000
W 0.145 0.645 0.500
W 0.645 0.855 0.500
W 0.855 0.355 0.500
W 0.355 0.145 0.500
Fe 0.364 0.864 0.000
Fe 0.864 0.636 0.000
Fe 0.636 0.136 0.000
Fe 0.136 0.364 0.000

## Properties
Magnetic moment (μB/f.u.): 0.00
DFT total energy (eV/cell): -87.62